Entry 1:
Lu2MgV | PBE | relaxed

The space-group type is R-3m. Its crystal system is trigonal. As for the energy above the most stable polymorph in this dataset: 491 meV per atom. Its formation energy is 0.5922 eV/atom. For the spin magnetization, the calculation gives 3.03 Bohr magnetons per cell.

abc: 3.219 3.219 11.294
angles: 81.81 81.81 60.00
Atoms (fractional coordinates):
Mg1 0.500 0.500 0.500
V1 0.000 0.000 0.000
Lu1 0.084 0.084 0.749
Lu2 0.916 0.916 0.251

***

Entry 2:
LuMgZrV | PBE | relaxed

The space-group type is F-43m. Its crystal system is cubic. Its formation energy is 0.1614 eV/atom. For the spin magnetization, the calculation gives 3.17 Bohr magnetons per cell.

abc: 4.977 4.977 4.977
angles: 60.00 60.00 60.00
Atoms (fractional coordinates):
Zr1 0.250 0.250 0.250
V1 0.500 0.500 0.500
Lu1 0.750 0.750 0.750
Mg1 0.000 0.000 0.000

***

Entry 3:
YLuMg2 | PBE | relaxed

The space-group type is P4/mmm. Its crystal system is tetragonal. As for the energy above the most stable polymorph in this dataset: 4 meV per atom. Its formation energy is -0.0782 eV/atom. For the spin magnetization, the calculation gives 0.00 Bohr magnetons per cell.

abc: 3.777 5.323 5.323
angles: 90.00 90.00 90.00
Atoms (fractional coordinates):
Y1 0.500 0.000 0.000
Mg1 0.000 0.000 0.500
Mg2 0.000 0.500 0.000
Lu1 0.500 0.500 0.500

***

Entry 4:
Y2LuMg | PBE | relaxed

The space-group type is P4/mmm. Its crystal system is tetragonal. As for the energy above the most stable polymorph in this dataset: 0 meV per atom. Its formation energy is -0.0275 eV/atom. For the spin magnetization, the calculation gives 0.00 Bohr magnetons per cell.

abc: 3.584 3.584 9.168
angles: 90.00 90.00 90.00
Atoms (fractional coordinates):
Y1 0.000 0.000 0.238
Y2 0.000 0.000 0.762
Mg1 0.500 0.500 0.000
Lu1 0.500 0.500 0.500

***

Entry 5:
YLuMg2 | PBE | relaxed

The space-group type is Fm-3m. Its crystal system is cubic. As for the energy above the most stable polymorph in this dataset: 0 meV per atom. Its formation energy is -0.0821 eV/atom. For the spin magnetization, the calculation gives 0.00 Bohr magnetons per cell.

abc: 5.328 5.328 5.328
angles: 60.00 60.00 60.00
Atoms (fractional coordinates):
Mg1 0.250 0.250 0.250
Mg2 0.750 0.750 0.750
Lu1 0.500 0.500 0.500
Y1 0.000 0.000 0.000

***

Entry 6:
Y2LuMg | PBE | relaxed

The space-group type is R-3m. Its crystal system is trigonal. As for the energy above the most stable polymorph in this dataset: 223 meV per atom. Its formation energy is 0.1958 eV/atom. For the spin magnetization, the calculation gives 0.00 Bohr magnetons per cell.

abc: 3.434 3.434 12.333
angles: 82.00 82.00 60.00
Atoms (fractional coordinates):
Y1 0.090 0.090 0.731
Y2 0.910 0.910 0.269
Mg1 0.000 0.000 0.000
Lu1 0.500 0.500 0.500

***

Number 1: D(E_F) 6.43 states/eV/f.u.. Number 2: D(E_F) 2.66 states/eV/f.u.. Number 3: D(E_F) 5.15 states/eV/f.u.. Number 4: D(E_F) 6.09 states/eV/f.u.. Number 5: D(E_F) 5.47 states/eV/f.u.. Number 6: D(E_F) 3.50 states/eV/f.u..